# 1
TiNb2AsAu: relaxed, PBE.

Cell and atoms, written as POSCAR:
```
TiNb2AsAu
1.0
-4.671 -0.097 0.846
-0.295 -4.103 -2.100
0.795 -2.177 4.143
Nb Au As Ti
2 1 1 1
Cartesian
0.398 -1.089 2.072
-2.335 -0.048 0.423
-2.085 -3.189 1.445
0.000 0.000 0.000
-0.148 -2.052 -1.050
```

Calculated values
The value obtained for the energy of formation is 450 meV/atom. The calculated volume is 20.82 Å³/atom.

---

# 2
Hf2Re2Tc: relaxed, PBE.

Cell and atoms, written as POSCAR:
```
Hf2Re2Tc
1.0
7.553 0.000 0.000
0.000 7.553 0.000
0.000 0.000 3.136
Re Hf Tc
4 4 2
Cartesian
1.189 4.965 1.568
4.965 6.364 1.568
6.364 2.588 1.568
2.588 1.189 1.568
2.673 6.449 0.000
6.449 4.880 0.000
4.880 1.104 0.000
1.104 2.673 0.000
0.000 0.000 0.000
3.776 3.776 0.000
```

Calculated values
The value obtained for the energy of formation is 508 meV/atom. The calculated volume is 17.89 Å³/atom.

---

# 3
SrAcMgGe: relaxed, PBE.

Cell and atoms, written as POSCAR:
```
SrAcMgGe
1.0
-3.571 -0.169 -4.339
1.893 -1.214 -5.153
-1.296 -4.924 -2.383
Mg Sr Ac Ge
1 1 1 1
Cartesian
-0.743 -1.577 -2.969
0.000 0.000 0.000
-1.487 -3.153 -5.938
-2.230 -4.730 -8.907
```

Calculated values
The value obtained for the energy of formation is -264 meV/atom. The calculated volume is 31.41 Å³/atom.

---

# 4
AcCePu: relaxed, PBE.

Cell and atoms, written as POSCAR:
```
AcCePu
1.0
3.390 0.000 0.000
0.000 5.825 0.000
0.000 -2.913 5.045
Ac Ce Pu
1 1 1
Cartesian
0.566 2.913 1.682
0.564 0.000 0.000
2.260 0.000 3.363
```

Calculated values
The value obtained for the energy of formation is 395 meV/atom. The calculated volume is 33.21 Å³/atom.

---

# 5
GaCuHgF6: relaxed, PBE.

Cell and atoms, written as POSCAR:
```
GaCuHgF6
1.0
-0.476 -5.394 -0.316
4.057 2.202 2.849
-5.827 0.030 8.275
Ga Cu Hg F
2 2 2 12
Cartesian
-0.422 -2.855 2.808
-1.825 -0.308 8.000
1.089 -0.323 3.863
-3.336 -2.840 6.945
0.000 0.000 0.000
-2.914 0.015 4.137
1.375 -2.130 2.748
0.126 -4.464 1.877
0.026 0.266 7.979
-2.373 1.302 8.931
-0.837 -1.262 3.832
-0.024 -3.863 4.414
-1.347 -1.184 9.662
-2.274 -3.429 2.828
-2.223 0.701 6.393
-0.900 -1.979 1.146
-1.410 -1.900 6.975
-3.622 -1.032 8.059
```

Calculated values
For the uncorrected formation energy, the calculation gives -16.8 eV/f.u. The calculated volume is 14.33 Å³/atom.

---

# 6
PuTh4Au2: relaxed, PBE.

Cell and atoms, written as POSCAR:
```
PuTh4Au2
1.0
-2.799 0.730 2.134
-2.390 -2.571 0.773
7.992 -5.332 15.333
Pu Th Au
1 4 2
Cartesian
1.402 -3.586 9.120
3.736 -6.173 16.094
-1.837 -3.468 7.860
-0.933 -1.000 2.146
4.640 -3.705 10.381
-1.383 -2.235 5.006
4.186 -4.938 13.234
```

Calculated values
The value obtained for the energy of formation is -131 meV/atom. The calculated volume is 28.73 Å³/atom.

---

# 7
BeP2WCl: relaxed, PBE.

Cell and atoms, written as POSCAR:
```
BeP2WCl
1.0
-2.749 1.263 -2.926
0.187 -3.794 -1.813
-3.222 -1.330 2.453
P Be W Cl
2 1 1 1
Cartesian
0.093 -1.897 -0.906
-1.375 0.631 -1.463
0.000 0.000 0.000
-2.892 -1.931 -1.143
-1.611 -0.665 1.226
```

Calculated values
For the uncorrected formation energy, the calculation gives 5.3 eV/f.u. The calculated volume is 15.10 Å³/atom.

---

# 8
MnNiOs: relaxed, PBE.

Cell and atoms, written as POSCAR:
```
MnNiOs
1.0
-3.015 2.244 0.414
-1.583 0.682 2.044
4.756 9.476 0.523
Mn Ni Os
2 2 2
Cartesian
-1.866 6.592 2.477
2.023 5.809 0.505
-1.393 4.147 1.910
1.550 8.255 1.071
-0.983 1.620 1.321
1.141 10.781 1.661
```

Calculated values
The value obtained for the energy of formation is 174 meV/atom. The calculated volume is 12.24 Å³/atom.